[1]
# MnAgCl2

Crystalline MnAgCl2 at its relaxed geometry (PBE, the Alexandria database).

abc: 3.139 3.139 10.057
angles: 90.00 90.00 90.00
Site moments in Bohr magnetons follow the coordinates.
Fractional positions:
Mn: 0.500 0.500 0.250  4.36
Ag: 0.500 0.500 0.750  0.00
Cl: 0.000 0.000 0.097  0.12
Cl: 0.000 0.000 0.403  0.12

Results
- Energy relative to the elements, uncorrected: -255 meV/atom
- Space group: P4/mmm, No. 123

---

[2]
# SrNiP2Ru

Crystalline SrNiP2Ru at its relaxed geometry (PBE, the Alexandria database).

abc: 3.861 3.861 6.586
angles: 107.05 107.05 90.00
Fractional positions:
Sr: 0.000 0.000 0.000
Ni: 0.750 0.250 0.500
P: 0.644 0.644 0.289
P: 0.356 0.356 0.711
Ru: 0.250 0.750 0.500

Results
- Calculated formation energy: -0.814 eV per atom
- Space group: I-4m2, No. 119

---

[3]
# LaHoAlGa

Crystalline LaHoAlGa at its relaxed geometry (PBE, the Alexandria database).

abc: 5.209 5.209 5.209
angles: 60.00 60.00 60.00
Fractional positions:
Al: 0.750 0.750 0.750
Ho: 0.000 0.000 0.000
Ga: 0.250 0.250 0.250
La: 0.500 0.500 0.500

Results
- Calculated formation energy: -0.466 eV per atom
- Space group: F-43m, No. 216

---

[4]
# LiGdZnCu

Crystalline LiGdZnCu at its relaxed geometry (PBE, the Alexandria database).

abc: 4.654 4.654 4.654
angles: 60.00 60.00 60.00
Site moments in Bohr magnetons follow the coordinates.
Fractional positions:
Zn: 0.500 0.500 0.500  0.05
Gd: 0.000 0.000 0.000  7.23
Cu: 0.750 0.750 0.750  0.04
Li: 0.250 0.250 0.250  0.06

Results
- Calculated formation energy: -0.139 eV per atom
- Space group: F-43m, No. 216

---

Number 1: D(E_F) 0.408 states/eV/f.u., V 24.775 Å³/atom, electronic total energy -0.307 Ry/atom. Number 2: D(E_F) 3.826 states/eV/f.u., V 17.873 Å³/atom, electronic total energy -0.465 Ry/atom. Number 3: D(E_F) 1.101 states/eV/f.u., V 24.980 Å³/atom, electronic total energy -0.333 Ry/atom. Number 4: D(E_F) 3.147 states/eV/f.u., V 17.815 Å³/atom, electronic total energy -0.403 Ry/atom.